# Cs4Hg2SbAs2

Cs4Hg2SbAs2 after structural relaxation (PBE-GGA, the Alexandria database).

E_tot in eV/atom: -2.19

Lattice parameters (Å, degrees): 4.704 10.919 15.899 90.00 90.00 90.00
Space group Immm (No. 71)
One atom of each set of equivalent atoms:
Cs 0.000 0.248 0.123 [8 per cell]
Hg 0.000 0.500 0.280 [4 per cell]
Sb 0.000 0.000 0.500 [2 per cell]
As 0.000 0.000 0.321 [4 per cell]